Version 1
Below is BaLaDy after structural relaxation, with properties calculated at the PBE-GGA level.

Values from the calculation:
* total magnetic moment: 0.000 μB per atom
* SG: No. 107

Geometry as POSCAR:
```
BaLaDy
1.0
3.8485 0.0000 0.0000
0.0000 3.8485 0.0000
-1.9243 -1.9243 8.3566
Dy La Ba
1 1 1
Direct
0.3195 0.3195 0.6390
0.6835 0.6835 0.3669
0.9971 0.9971 0.9941
```


Version 2
Below is BaLaDy after structural relaxation, with properties calculated at the PBE-GGA level.

Values from the calculation:
* total magnetic moment: 0.000 μB per atom
* SG: No. 156

Geometry as POSCAR:
```
BaLaDy
1.0
-1.0394 -2.7197 -2.4911
0.6121 -0.8998 3.6740
-9.2180 1.7286 1.9590
La Ba Dy
1 1 1
Direct
0.3333 0.6667 0.6418
0.0000 0.0000 0.0077
0.6667 0.3333 0.3505
```


Q: Which of them is the least stable? A: version 2.


Version 1
Below is BaLaDy2 after structural relaxation, with properties calculated at the PBE-GGA level.

Values from the calculation:
* total magnetic moment: 0.000 μB per atom
* SG: No. 123

Geometry as POSCAR:
```
BaLaDy2
1.0
-1.7960 -2.4300 -2.2482
3.2774 -1.6655 -0.8180
-1.3373 -6.7275 8.3400
Dy La Ba
2 1 1
Direct
0.0000 0.0000 0.7779
0.0000 0.0000 0.2221
0.5000 0.5000 0.0000
0.5000 0.5000 0.5000
```


Version 2
Below is BaLaDy2 after structural relaxation, with properties calculated at the PBE-GGA level.

Values from the calculation:
* total magnetic moment: 0.003 μB per atom
* SG: No. 166

Geometry as POSCAR:
```
BaLaDy2
1.0
-0.3998 -0.2535 3.6262
-3.1261 -1.2694 1.4107
3.5877 -12.5924 1.3593
Dy Ba La
2 1 1
Direct
0.0927 0.0927 0.7220
0.9073 0.9073 0.2780
0.0000 0.0000 0.0000
0.5000 0.5000 0.5000
```


Q: Which of them is the least stable? A: version 2.


Version 1
Below is BaLa2Dy after structural relaxation, with properties calculated at the PBE-GGA level.

Values from the calculation:
* total magnetic moment: 0.000 μB per atom
* SG: No. 166

Geometry as POSCAR:
```
BaLa2Dy
1.0
3.7949 0.0000 0.0000
1.8974 3.2864 0.0000
1.8974 1.0955 12.6641
Dy Ba La
1 1 2
Direct
0.0000 0.0000 0.0000
0.5000 0.5000 0.5000
0.2582 0.2582 0.2254
0.7418 0.7418 0.7746
```


Version 2
Below is BaLa2Dy after structural relaxation, with properties calculated at the PBE-GGA level.

Values from the calculation:
* total magnetic moment: 0.000 μB per atom
* SG: No. 123

Geometry as POSCAR:
```
BaLa2Dy
1.0
-3.4947 1.4080 0.5908
-0.3340 -2.1449 3.1357
4.2977 8.1393 6.0252
Ba Dy La
1 1 2
Direct
0.5000 0.5000 0.5000
0.5000 0.5000 0.0000
0.0000 0.0000 0.2156
0.0000 0.0000 0.7844
```


Q: Which of them is the least stable? A: version 1.


Version 1
Below is Ba2NaDy after structural relaxation, with properties calculated at the PBE-GGA level.

Values from the calculation:
* total magnetic moment: 0.000 μB per atom
* SG: No. 123

Geometry as POSCAR:
```
Ba2NaDy
1.0
4.4329 0.0000 0.0000
0.0000 4.4329 0.0000
0.0000 0.0000 9.6356
Ba Dy Na
2 1 1
Direct
0.0000 0.0000 0.7589
0.0000 0.0000 0.2411
0.5000 0.5000 0.0000
0.5000 0.5000 0.5000
```


Version 2
Below is Ba2NaDy after structural relaxation, with properties calculated at the PBE-GGA level.

Values from the calculation:
* total magnetic moment: 0.000 μB per atom
* SG: No. 166

Geometry as POSCAR:
```
Ba2NaDy
1.0
3.8230 0.0000 0.0000
1.9115 3.3108 0.0000
1.9115 1.1036 14.0792
Ba Dy Na
2 1 1
Direct
0.0846 0.0846 0.7463
0.9154 0.9154 0.2537
0.0000 0.0000 0.0000
0.5000 0.5000 0.5000
```


Q: Which of them is the least stable? A: version 2.


Version 1
Below is BaDyNbSnO6 after structural relaxation, with properties calculated at the PBE-GGA level.

Values from the calculation:
* total magnetic moment: 0.000 μB per atom
* SG: No. 216

Geometry as POSCAR:
```
BaDyNbSnO6
1.0
0.9608 -5.8639 0.9000
-3.8407 -3.1965 3.3390
-3.5803 -4.0657 -2.6019
Sn Ba O Nb Dy
1 1 6 1 1
Direct
0.2500 0.2500 0.2500
0.7500 0.7500 0.7500
0.7372 0.2628 0.7372
0.7372 0.7372 0.2628
0.2628 0.7372 0.7372
0.2628 0.2628 0.7372
0.2628 0.7372 0.2628
0.7372 0.2628 0.2628
0.5000 0.5000 0.5000
0.0000 0.0000 0.0000
```


Version 2
Below is BaDyNbSnO6 after structural relaxation, with properties calculated at the PBE-GGA level.

Values from the calculation:
* total magnetic moment: 0.000 μB per atom
* SG: No. 2

Geometry as POSCAR:
```
BaDyNbSnO6
1.0
-2.5132 -5.2470 1.5729
1.7711 0.8515 5.6237
-7.2511 4.2648 1.8451
Sn O Ba Dy Nb
2 12 2 2 2
Direct
0.0622 0.0636 0.7355
0.9378 0.9364 0.2645
0.5640 0.9747 0.2412
0.2855 0.7440 0.0074
0.2787 0.6877 0.4974
0.1880 0.2169 0.4913
0.7213 0.3123 0.5026
0.8120 0.7831 0.5087
0.9698 0.5497 0.2629
0.0302 0.4503 0.7371
0.7145 0.2560 0.9926
0.2606 0.2288 0.0215
0.7394 0.7712 0.9785
0.4360 0.0253 0.7588
0.5077 0.5103 0.7583
0.4923 0.4897 0.2417
0.5000 0.0000 0.5000
0.0000 0.5000 0.0000
0.0000 0.5000 0.5000
0.5000 0.0000 0.0000
```


Q: Which of them is the least stable? A: version 1.


Version 1
Below is BaNd2Dy after structural relaxation, with properties calculated at the PBE-GGA level.

Values from the calculation:
* total magnetic moment: 0.000 μB per atom
* SG: No. 123

Geometry as POSCAR:
```
BaNd2Dy
1.0
-0.3762 1.6840 3.3502
0.9389 -3.2174 1.7227
10.5099 2.9145 -0.2850
Dy Nd Ba
1 2 1
Direct
0.5000 0.5000 0.0000
0.0000 0.0000 0.2171
0.0000 0.0000 0.7829
0.5000 0.5000 0.5000
```


Version 2
Below is BaNd2Dy after structural relaxation, with properties calculated at the PBE-GGA level.

Values from the calculation:
* total magnetic moment: 0.000 μB per atom
* SG: No. 166

Geometry as POSCAR:
```
BaNd2Dy
1.0
-1.0489 -2.9857 1.8822
2.3035 -2.8492 0.3655
5.1953 3.3324 11.7833
Dy Nd Ba
1 2 1
Direct
0.5000 0.5000 0.5000
0.9062 0.9062 0.2815
0.0938 0.0938 0.7185
0.0000 0.0000 0.0000
```


Q: Which of them is the least stable? A: version 2.